# 1
Crystalline AlCrAs2Br at its relaxed geometry. Source: Alexandria, functional PBE.

Values from the calculation:
Magnetic moment ... 1.50 Bohr magnetons per cell
D(E_F) ... 2.23 states/eV per cell
Energy relative to the elements, uncorrected ... 308 meV per atom
Energy relative to the lowest polymorph listed for this composition ... 0.00 eV/f.u.
VASP energy ... -22.8 eV/cell

a = 4.6445 Å, b = 4.6445 Å, c = 5.5446 Å
α = 90.00°, β = 90.00°, γ = 90.00°
Closest atoms and distances in Å follow each position.
Space group P4/mmm (No. 123)
Symmetry-distinct sites (fractional):
Al (0.0000, 0.0000, 0.0000) (multiplicity 1)  4 Br 3.28, 8 As 3.62
Cr (0.5000, 0.5000, 0.5000) (multiplicity 1)  4 As 2.32
As (0.0000, 0.5000, 0.5000) (multiplicity 2)  2 Cr 2.32
Br (0.5000, 0.5000, 0.0000) (multiplicity 1)  2 Cr 2.77

***

# 2
Crystalline Cs2AlAsBr6 at its relaxed geometry. Source: Alexandria, functional PBE.

Values from the calculation:
Magnetic moment ... 0.00 Bohr magnetons per cell
D(E_F) ... 1.74 states/eV per cell
Energy relative to the elements, uncorrected ... -1031 meV per atom
VASP energy ... -60.9 eV/cell

a = 7.8158 Å, b = 7.8158 Å, c = 10.9594 Å
α = 90.00°, β = 90.00°, γ = 90.00°
Closest atoms and distances in Å follow each position.
Space group I4/mmm (No. 139)
Symmetry-distinct sites (fractional):
Cs (0.0000, 0.5000, 0.2500) (multiplicity 4)  12 Br 3.89-3.91
Al (0.0000, 0.0000, 0.0000) (multiplicity 2)  6 Br 2.62-2.76
As (0.0000, 0.0000, 0.5000) (multiplicity 2)  6 Br 2.72-2.91
Br (0.0000, 0.0000, 0.2520) (multiplicity 4)  1 As 2.72, 1 Al 2.76
Br (0.2367, 0.2367, 0.0000) (multiplicity 8)  1 Al 2.62, 1 As 2.91

***

# 3
Crystalline AlFeAsBr2 at its relaxed geometry. Source: Alexandria, functional PBE.

Values from the calculation:
Magnetic moment ... 4.00 Bohr magnetons per cell
D(E_F) ... 4.88 states/eV per cell
Energy relative to the elements, uncorrected ... 486 meV per atom
Energy relative to the lowest polymorph listed for this composition ... 1.17 eV/f.u.
VASP energy ... -17.8 eV/cell

a = 4.9444 Å, b = 4.9444 Å, c = 5.1586 Å
α = 90.00°, β = 90.00°, γ = 90.00°
Closest atoms and distances in Å follow each position.
Space group P4/mmm (No. 123)
Symmetry-distinct sites (fractional):
Al (0.0000, 0.0000, 0.0000) (multiplicity 1)  4 Br 2.47, 2 As 2.58
Fe (0.5000, 0.5000, 0.5000) (multiplicity 1)  4 As 3.50, 8 Br 3.57
As (0.0000, 0.0000, 0.5000) (multiplicity 1)  2 Al 2.58
Br (0.0000, 0.5000, 0.0000) (multiplicity 2)  2 Al 2.47

***

# 4
Crystalline AlFeAsBr2 at its relaxed geometry. Source: Alexandria, functional PBE.

Values from the calculation:
Magnetic moment ... 2.00 Bohr magnetons per cell
D(E_F) ... 4.44 states/eV per cell
Energy relative to the elements, uncorrected ... 252 meV per atom
Energy relative to the lowest polymorph listed for this composition ... 0.00 eV/f.u.
VASP energy ... -18.9 eV/cell

a = 5.2960 Å, b = 5.2960 Å, c = 4.5301 Å
α = 90.00°, β = 90.00°, γ = 90.00°
Closest atoms and distances in Å follow each position.
Space group P4/mmm (No. 123)
Symmetry-distinct sites (fractional):
Al (0.0000, 0.0000, 0.0000) (multiplicity 1)  8 Br 3.48, 4 As 3.74
Fe (0.5000, 0.5000, 0.5000) (multiplicity 1)  2 As 2.27
As (0.5000, 0.5000, 0.0000) (multiplicity 1)  2 Fe 2.27
Br (0.0000, 0.5000, 0.5000) (multiplicity 2)  2 Fe 2.65

***

# 5
Crystalline AlGaAs2Br at its relaxed geometry. Source: Alexandria, functional PBE.

Values from the calculation:
Magnetic moment ... 0.00 Bohr magnetons per cell
D(E_F) ... 3.15 states/eV per cell
Energy relative to the elements, uncorrected ... 217 meV per atom
Energy relative to the lowest polymorph listed for this composition ... 0.00 eV/f.u.
VASP energy ... -16.7 eV/cell

a = 4.8673 Å, b = 4.8673 Å, c = 5.4230 Å
α = 90.00°, β = 90.00°, γ = 90.00°
Closest atoms and distances in Å follow each position.
Space group P4/mmm (No. 123)
Symmetry-distinct sites (fractional):
Al (0.0000, 0.0000, 0.0000) (multiplicity 1)  4 As 2.43, 2 Br 2.71
Ga (0.5000, 0.5000, 0.5000) (multiplicity 1)  4 Br 3.44, 8 As 3.64
As (0.0000, 0.5000, 0.0000) (multiplicity 2)  2 Al 2.43
Br (0.0000, 0.0000, 0.5000) (multiplicity 1)  2 Al 2.71

***

# 6
Crystalline AlGaAs2Br at its relaxed geometry. Source: Alexandria, functional PBE.

Values from the calculation:
Magnetic moment ... 0.00 Bohr magnetons per cell
D(E_F) ... 3.37 states/eV per cell
Energy relative to the elements, uncorrected ... 494 meV per atom
Energy relative to the lowest polymorph listed for this composition ... 1.39 eV/f.u.
VASP energy ... -15.3 eV/cell

a = 4.9197 Å, b = 4.9197 Å, c = 5.4131 Å
α = 90.00°, β = 90.00°, γ = 90.00°
Closest atoms and distances in Å follow each position.
Space group P4/mmm (No. 123)
Symmetry-distinct sites (fractional):
Al (0.0000, 0.0000, 0.0000) (multiplicity 1)  4 Br 3.48, 8 As 3.66
Ga (0.5000, 0.5000, 0.5000) (multiplicity 1)  4 As 2.46, 2 Br 2.71
As (0.0000, 0.5000, 0.5000) (multiplicity 2)  2 Ga 2.46
Br (0.5000, 0.5000, 0.0000) (multiplicity 1)  2 Ga 2.71

***

Calculated volume in order - 119.6; 669.5; 126.1; 127.1; 128.5; 131.0 Å³/cell